PBE-GGA ZnHgMo2Se, optimized geometry; space group = P4/mmm, No. 123; ΔE_f (raw) = 1.505 eV/atom; energy = -3.84 eV/atom
1.0
4.910 0.000 0.000
0.000 4.910 0.000
0.000 0.000 4.685
Zn Hg Mo Se
1 1 2 1
direct
0.000 0.000 0.000
0.500 0.500 0.500
0.000 0.500 0.000
0.500 0.000 0.000
0.000 0.000 0.500